No. 1
Density functional theory data (PBE-GGA) for a relaxed SrCa2Sn crystal.

Structure (CIF):
```
data_SrCa2Sn
_chemical_formula_sum 'Sr3 Ca6 Sn3'
_cell_length_a 5.3170
_cell_length_b 5.3170
_cell_length_c 19.6987
_cell_angle_alpha 90.00
_cell_angle_beta 90.00
_cell_angle_gamma 120.00
_space_group_name_H-M_alt 'R 3 m'
_space_group_IT_number 160
_space_group_name_Hall 'R 3 -2"'
loop_
_atom_site_label
_atom_site_type_symbol
_atom_site_fract_x
_atom_site_fract_y
_atom_site_fract_z
_atom_site_occupancy
Sr1 Sr 0.0000 0.0000 0.0000 1
Ca1 Ca 0.0000 0.0000 0.5576 1
Ca2 Ca 0.0000 0.0000 0.7864 1
Sn1 Sn 0.0000 0.0000 0.1840 1
```

## Properties
DFT total energy   -2.733 eV per atom

No. 2
Density functional theory data (PBE-GGA) for a relaxed CaCeIn3 crystal.

Structure (CIF):
```
data_CaCeIn3
_chemical_formula_sum 'Ca4 Ce4 In12'
_cell_length_a 6.555
_cell_length_b 8.263
_cell_length_c 11.131
_cell_angle_alpha 90.00
_cell_angle_beta 90.00
_cell_angle_gamma 90.00
_space_group_name_H-M_alt 'I m m a'
_space_group_IT_number 74
_space_group_name_Hall '-I 2b 2'
loop_
_atom_site_label
_atom_site_type_symbol
_atom_site_fract_x
_atom_site_fract_y
_atom_site_fract_z
_atom_site_occupancy
Ca1 Ca 0.000 0.000 0.000 1
Ce1 Ce 0.000 0.250 0.494 1
In1 In 0.000 0.250 0.202 1
In2 In 0.250 0.066 0.750 1
```

## Properties
DFT total energy   -3.340 eV per atom

No. 3
Density functional theory data (PBE-GGA) for a relaxed SrMg14Sn crystal.

Structure (CIF):
```
data_SrMg14Sn
_chemical_formula_sum 'Sr2 Mg28 Sn2'
_cell_length_a 10.488
_cell_length_b 6.456
_cell_length_c 11.617
_cell_angle_alpha 90.00
_cell_angle_beta 90.00
_cell_angle_gamma 90.00
_space_group_name_H-M_alt 'A m m 2'
_space_group_IT_number 38
loop_
_space_group_symop_operation_xyz
'x,y,z'
'-x,-y,z'
'-x,y,z'
'x,-y,z'
'x,y+1/2,z+1/2'
'-x,-y+1/2,z+1/2'
'-x,y+1/2,z+1/2'
'x,-y+1/2,z+1/2'
loop_
_atom_site_label
_atom_site_type_symbol
_atom_site_fract_x
_atom_site_fract_y
_atom_site_fract_z
_atom_site_occupancy
Sr1 Sr 0.000 0.000 0.000 1
Mg1 Mg 0.000 0.245 0.250 1
Mg2 Mg 0.239 0.000 0.658 1
Mg3 Mg 0.260 0.000 0.165 1
Mg4 Mg 0.260 0.248 0.407 1
Mg5 Mg 0.500 0.000 0.499 1
Mg6 Mg 0.500 0.000 0.997 1
Mg7 Mg 0.500 0.245 0.745 1
Sn1 Sn 0.000 0.000 0.485 1
```

## Properties
Energy above the most stable polymorph in this dataset   0 meV per atom

No. 4
Density functional theory data (PBE-GGA) for a relaxed RuBrOF2 crystal.

Structure (CIF):
```
data_RuBrOF2
_chemical_formula_sum 'Ru1 Br1 O1 F2'
_cell_length_a 4.312
_cell_length_b 4.312
_cell_length_c 3.723
_cell_angle_alpha 90.00
_cell_angle_beta 90.00
_cell_angle_gamma 90.00
_space_group_name_H-M_alt 'P 4/m m m'
_space_group_IT_number 123
_space_group_name_Hall '-P 4 2'
loop_
_atom_site_label
_atom_site_type_symbol
_atom_site_fract_x
_atom_site_fract_y
_atom_site_fract_z
_atom_site_occupancy
Ru1 Ru 0.000 0.000 0.000 1
Br1 Br 0.500 0.500 0.500 1
O1 O 0.000 0.000 0.500 1
F1 F 0.000 0.500 0.000 1
```

## Properties
Energy above the most stable polymorph in this dataset   0 meV per atom
Energy relative to the elements, uncorrected   -3.02 eV/f.u.

No. 5
Density functional theory data (PBE-GGA) for a relaxed NiIr2Os crystal.

Structure (CIF):
```
data_NiIr2Os
_chemical_formula_sum 'Ni4 Ir8 Os4'
_cell_length_a 6.094
_cell_length_b 6.094
_cell_length_c 6.094
_cell_angle_alpha 90.00
_cell_angle_beta 90.00
_cell_angle_gamma 90.00
_space_group_name_H-M_alt 'F m -3 m'
_space_group_IT_number 225
_space_group_name_Hall '-F 4 2 3'
loop_
_atom_site_label
_atom_site_type_symbol
_atom_site_fract_x
_atom_site_fract_y
_atom_site_fract_z
_atom_site_occupancy
Ni1 Ni 0.000 0.000 0.000 1
Ir1 Ir 0.250 0.250 0.250 1
Os1 Os 0.000 0.000 0.500 1
```

## Properties
Energy above the most stable polymorph in this dataset   447 meV per atom

No. 6
Density functional theory data (PBE-GGA) for a relaxed PrGdScIn crystal.

Structure (CIF):
```
data_PrGdScIn
_chemical_formula_sum 'Pr4 Gd4 Sc4 In4'
_cell_length_a 7.693
_cell_length_b 7.693
_cell_length_c 7.693
_cell_angle_alpha 90.00
_cell_angle_beta 90.00
_cell_angle_gamma 90.00
_space_group_name_H-M_alt 'F -4 3 m'
_space_group_IT_number 216
_space_group_name_Hall 'F -4 2 3'
loop_
_atom_site_label
_atom_site_type_symbol
_atom_site_fract_x
_atom_site_fract_y
_atom_site_fract_z
_atom_site_occupancy
Pr1 Pr 0.000 0.000 0.000 1
Gd1 Gd 0.000 0.000 0.500 1
Sc1 Sc 0.250 0.250 0.750 1
In1 In 0.250 0.250 0.250 1
```

## Properties
DFT total energy   -7.159 eV per atom

No. 7
Density functional theory data (PBE-GGA) for a relaxed InFeCo crystal.

Structure (CIF):
```
data_InFeCo
_chemical_formula_sum 'In1 Fe1 Co1'
_cell_length_a 4.2002
_cell_length_b 4.2002
_cell_length_c 2.8601
_cell_angle_alpha 90.00
_cell_angle_beta 90.00
_cell_angle_gamma 120.00
_space_group_name_H-M_alt 'P 3 m 1'
_space_group_IT_number 156
loop_
_space_group_symop_operation_xyz
'x,y,z'
'-y,x-y,z'
'-x+y,-x,z'
'-y,-x,z'
'-x+y,y,z'
'x,x-y,z'
loop_
_atom_site_label
_atom_site_type_symbol
_atom_site_fract_x
_atom_site_fract_y
_atom_site_fract_z
_atom_site_occupancy
In1 In 0.0000 0.0000 0.0000 1
Fe1 Fe 0.3333 0.6667 0.5630 1
Co1 Co 0.6667 0.3333 0.4238 1
```

## Properties
Energy above the most stable polymorph in this dataset   88 meV per atom

No. 8
Density functional theory data (PBE-GGA) for a relaxed Tb2SmTl2Cd2 crystal.

Structure (CIF):
```
data_Tb2SmTl2Cd2
_chemical_formula_sum 'Tb6 Sm3 Tl6 Cd6'
_cell_length_a 5.0233
_cell_length_b 5.0233
_cell_length_c 26.4187
_cell_angle_alpha 90.00
_cell_angle_beta 90.00
_cell_angle_gamma 120.00
_space_group_name_H-M_alt 'R -3 m'
_space_group_IT_number 166
_space_group_name_Hall '-R 3 2"'
loop_
_atom_site_label
_atom_site_type_symbol
_atom_site_fract_x
_atom_site_fract_y
_atom_site_fract_z
_atom_site_occupancy
Tb1 Tb 0.0000 0.0000 0.1330 1
Sm1 Sm 0.0000 0.0000 0.0000 1
Tl1 Tl 0.0000 0.0000 0.2691 1
Cd1 Cd 0.0000 0.0000 0.4275 1
```

## Properties
DFT total energy   -3.093 eV per atom